(1)
Here is TeBr2Cl after structural relaxation from Alexandria. Energies are from PBE.

Cell: 4.732 4.732 8.767 Å, 90.00 90.00 90.00°
Space group I-4m2 (No. 119)
Unique sites:
Te 0.000 0.000 0.000 (multiplicity 2)
Br 0.000 0.000 0.500 (multiplicity 2)
Br 0.000 0.500 0.750 (multiplicity 2)
Cl 0.000 0.500 0.250 (multiplicity 2)

Output
For the formation energy (no corrections), the calculation gives 0.329 eV/atom.



(2)
Here is TeBr2Cl after structural relaxation from Alexandria. Energies are from PBE.

Cell: 3.7519 3.7519 28.8612 Å, 90.00 90.00 120.00°
Space group R-3m (No. 166, hexagonal axes)
Unique sites:
Te 0.0000 0.0000 0.0000 (multiplicity 3)
Br 0.0000 0.0000 0.4124 (multiplicity 6)
Cl 0.0000 0.0000 0.5000 (multiplicity 3)

Output
For the formation energy (no corrections), the calculation gives 0.201 eV/atom.



(3)
Here is TeBr2Cl after structural relaxation from Alexandria. Energies are from PBE.

Cell: 3.573 4.109 6.829 Å, 90.00 90.00 90.00°
Space group Pmmm (No. 47)
Unique sites:
Te 0.000 0.000 0.000 (multiplicity 1)
Br 0.500 0.500 0.234 (multiplicity 2)
Cl 0.000 0.000 0.500 (multiplicity 1)

Output
For the formation energy (no corrections), the calculation gives 0.325 eV/atom.



(4)
Here is TeBrCl6 after structural relaxation from Alexandria. Energies are from PBE.

Cell: 6.796 7.031 7.870 Å, 66.56 69.73 67.52°
Space group P-1 (No. 2)
Unique sites:
Te 0.000 0.000 0.000 (multiplicity 1)
Br 0.000 0.500 0.500 (multiplicity 1)
Cl 0.120 0.069 0.222 (multiplicity 2)
Cl 0.227 0.248 0.717 (multiplicity 2)
Cl 0.323 0.689 0.985 (multiplicity 2)

Output
For the formation energy (no corrections), the calculation gives -0.303 eV/atom.